Compound: Ni2HgRuAu
Source: the Alexandria database
Functional: PBE
Structure: optimized geometry

Properties
For the formation enthalpy at 0 K, the calculation gives 8.77 eV per formula unit.

Lattice parameters (Å, degrees): 4.694 5.067 4.694 90.00 90.00 90.00
Last column: magnetic moment on the atom in μB.
Atoms (fractional coordinates):
Ru  0.500  0.500  0.500  2.51
Au  0.000  0.500  0.000  0.01
Hg  0.000  0.000  0.000  -0.02
Ni  0.000  0.000  0.500  0.45
Ni  0.500  0.000  0.000  0.62

=====

Compound: AcPr5Nd
Source: the Alexandria database
Functional: PBE
Structure: optimized geometry

Properties
For the formation enthalpy at 0 K, the calculation gives 7.62 eV per formula unit. The calculation puts the offset from the most stable computed form at 1010 meV per atom.

Lattice parameters (Å, degrees): 6.173 8.324 8.324 66.96 68.24 68.24
Last column: magnetic moment on the atom in μB.
Atoms (fractional coordinates):
Ac  0.500  0.500  0.500  0.04
Pr  0.500  0.170  0.830  0.01
Pr  0.500  0.830  0.170  0.01
Pr  0.758  0.242  0.242  0.01
Pr  0.242  0.758  0.758  0.01
Pr  0.000  0.500  0.500  0.08
Nd  0.000  0.000  0.000  0.02

=====

Compound: Tb2HoIn2Ag2
Source: the Alexandria database
Functional: PBE
Structure: optimized geometry

Properties
For the formation enthalpy at 0 K, the calculation gives -1.94 eV per formula unit.

Lattice parameters (Å, degrees): 4.836 4.836 9.345 75.00 75.00 60.00
Atoms (fractional coordinates):
Tb  0.126  0.126  0.623
Tb  0.874  0.874  0.377
Ho  0.000  0.000  0.000
In  0.739  0.739  0.783
In  0.261  0.261  0.217
Ag  0.606  0.606  0.183
Ag  0.394  0.394  0.817

=====

Compound: ReC2F
Source: the Alexandria database
Functional: PBE
Structure: optimized geometry

Properties
The calculation puts the offset from the most stable computed form at 970 meV per atom. For the formation energy (no corrections), the calculation gives 1.979 eV/atom.

Lattice parameters (Å, degrees): 3.743 3.743 3.743 60.00 60.00 60.00
Atoms (fractional coordinates):
Re  0.500  0.500  0.500
C  0.250  0.250  0.250
C  0.750  0.750  0.750
F  0.000  0.000  0.000

=====

Compound: Na3Tm2HfTe6
Source: the Alexandria database
Functional: PBE
Structure: optimized geometry

Properties
For the formation energy (no corrections), the calculation gives -1.115 eV/atom.

Lattice parameters (Å, degrees): 7.412 7.412 8.019 98.88 98.88 120.01
Atoms (fractional coordinates):
Na  0.171  0.829  0.500
Na  0.829  0.171  0.500
Na  0.500  0.500  0.500
Tm  0.334  0.666  0.000
Tm  0.666  0.334  0.000
Hf  0.000  0.000  0.000
Te  0.925  0.603  0.773
Te  0.755  0.755  0.228
Te  0.075  0.397  0.227
Te  0.603  0.925  0.773
Te  0.245  0.245  0.772
Te  0.397  0.075  0.227

=====

Compound: La3DyTl2
Source: the Alexandria database
Functional: PBE
Structure: optimized geometry

Properties
For the formation enthalpy at 0 K, the calculation gives -1.58 eV per formula unit. The calculation puts the offset from the most stable computed form at 28 meV per atom.

Lattice parameters (Å, degrees): 6.847 6.814 9.871 110.19 110.29 90.00
Last column: magnetic moment on the atom in μB.
Atoms (fractional coordinates):
La  0.426  0.677  0.354  0.10
La  0.574  0.323  0.646  0.10
La  0.072  0.823  0.646  0.10
La  0.928  0.177  0.354  0.10
La  0.500  0.750  0.000  0.11
La  0.500  0.250  0.000  0.11
Dy  0.000  0.250  0.000  0.21
Dy  0.000  0.750  0.000  0.21
Tl  0.373  0.133  0.267  0.00
Tl  0.627  0.867  0.733  0.00
Tl  0.106  0.367  0.733  0.00
Tl  0.894  0.633  0.267  0.00

=====

Compound: ScCu2Re
Source: the Alexandria database
Functional: PBE
Structure: optimized geometry

Properties
For the formation enthalpy at 0 K, the calculation gives 0.74 eV per formula unit. The calculation puts the offset from the most stable computed form at 92 meV per atom.

Lattice parameters (Å, degrees): 4.378 4.378 4.378 60.00 60.00 60.00
Atoms (fractional coordinates):
Sc  0.000  0.000  0.000
Re  0.500  0.500  0.500
Cu  0.250  0.250  0.250
Cu  0.750  0.750  0.750

=====

Compound: KZrSn3
Source: the Alexandria database
Functional: PBE
Structure: optimized geometry

Properties
For the formation enthalpy at 0 K, the calculation gives 6.85 eV per formula unit. The calculation puts the offset from the most stable computed form at 1439 meV per atom.

Lattice parameters (Å, degrees): 5.514 5.514 5.514 90.00 90.00 90.00
Atoms (fractional coordinates):
K  0.000  0.000  0.000
Sn  0.000  0.500  0.000
Sn  0.000  0.000  0.500
Sn  0.500  0.000  0.000
Zr  0.500  0.500  0.500

=====

Compound: Sm2Ge5Ru3
Source: the Alexandria database
Functional: PBE
Structure: optimized geometry

Properties
For the formation enthalpy at 0 K, the calculation gives -6.52 eV per formula unit.

Lattice parameters (Å, degrees): 8.523 8.523 8.523 139.90 108.49 85.30
Atoms (fractional coordinates):
Sm  0.093  0.362  0.731
Sm  0.369  0.138  0.231
Sm  0.631  0.862  0.769
Sm  0.907  0.638  0.269
Ge  0.237  0.911  0.327
Ge  0.709  0.959  0.250
Ge  0.416  0.589  0.827
Ge  0.709  0.459  0.750
Ge  0.000  0.750  0.750
Ge  0.000  0.250  0.250
Ge  0.291  0.541  0.250
Ge  0.584  0.411  0.173
Ge  0.291  0.041  0.750
Ge  0.763  0.089  0.673
Ru  0.946  0.853  0.092
Ru  0.239  0.647  0.592
Ru  0.761  0.353  0.408
Ru  0.054  0.147  0.908
Ru  0.500  0.750  0.250
Ru  0.500  0.250  0.750

=====

Compound: Ti6S2N
Source: the Alexandria database
Functional: PBE
Structure: optimized geometry

Properties
For the formation energy (no corrections), the calculation gives -1.135 eV/atom.

Lattice parameters (Å, degrees): 3.213 5.293 7.617 91.34 90.00 107.67
Atoms (fractional coordinates):
Ti  0.866  0.732  0.450
Ti  0.134  0.268  0.550
Ti  0.856  0.713  0.062
Ti  0.144  0.287  0.938
Ti  0.554  0.109  0.239
Ti  0.446  0.891  0.761
S  0.244  0.487  0.251
S  0.756  0.513  0.749
N  0.500  0.000  0.500

=====

Compound: LiMg3Co
Source: the Alexandria database
Functional: PBE
Structure: optimized geometry

Properties
For the formation enthalpy at 0 K, the calculation gives 0.36 eV per formula unit. The calculation puts the offset from the most stable computed form at 0 meV per atom.

Lattice parameters (Å, degrees): 3.385 7.821 8.548 119.28 90.00 90.00
Last column: magnetic moment on the atom in μB.
Atoms (fractional coordinates):
Li  0.750  0.686  0.612  0.00
Li  0.250  0.314  0.388  0.00
Mg  0.250  0.632  0.305  -0.01
Mg  0.750  0.368  0.695  -0.01
Mg  0.250  0.025  0.683  -0.01
Mg  0.750  0.208  0.052  0.00
Mg  0.750  0.975  0.317  -0.01
Mg  0.250  0.792  0.948  0.00
Co  0.750  0.601  0.051  1.30
Co  0.250  0.399  0.949  1.30

=====

Compound: Tl2HgRh
Source: the Alexandria database
Functional: PBE
Structure: optimized geometry

Properties
For the formation enthalpy at 0 K, the calculation gives 0.61 eV per formula unit. The calculation puts the offset from the most stable computed form at 104 meV per atom.

Lattice parameters (Å, degrees): 9.412 9.412 9.412 21.18 21.18 21.18
Atoms (fractional coordinates):
Tl  0.738  0.738  0.738
Tl  0.262  0.262  0.262
Hg  0.500  0.500  0.500
Rh  0.000  0.000  0.000

=====

Number 1: M_tot 3.62 μB/cell, density of states at the Fermi level 9.3 states/eV/f.u., VASP energy -3.130 eV/atom. Number 2: M_tot 0.35 μB/cell, density of states at the Fermi level 15.4 states/eV/f.u., VASP energy -3.594 eV/atom. Number 3: M_tot 0.00 μB/cell, density of states at the Fermi level 5.1 states/eV/f.u., VASP energy -3.850 eV/atom. Number 4: M_tot 0.00 μB/cell, density of states at the Fermi level 2.7 states/eV/f.u., VASP energy -6.213 eV/atom. Number 5: M_tot 0.00 μB/cell, density of states at the Fermi level 4.4 states/eV/f.u., VASP energy -4.590 eV/atom. Number 6: M_tot 2.22 μB/cell, density of states at the Fermi level 7.7 states/eV/f.u., VASP energy -4.283 eV/atom. Number 7: M_tot 0.00 μB/cell, density of states at the Fermi level 3.6 states/eV/f.u., VASP energy -6.558 eV/atom. Number 8: M_tot 0.01 μB/cell, density of states at the Fermi level 7.6 states/eV/f.u., VASP energy -2.962 eV/atom. Number 9: M_tot 0.00 μB/cell, density of states at the Fermi level 1.9 states/eV/f.u., VASP energy -6.687 eV/atom. Number 10: M_tot 0.00 μB/cell, density of states at the Fermi level 6.4 states/eV/f.u., VASP energy -8.241 eV/atom. Number 11: M_tot 2.49 μB/cell, density of states at the Fermi level 2.7 states/eV/f.u., VASP energy -2.689 eV/atom. Number 12: M_tot 0.00 μB/cell, density of states at the Fermi level 2.1 states/eV/f.u., VASP energy -2.944 eV/atom.